DFT (GGA-PBE) results for crystalline PrEr5Tm6 at its relaxed geometry.

The crystal system is monoclinic. For the energy, the calculation gives -0.1657 Ha/atom.

The space group is C2/m (No. 12) and the conventional cell measures 6.085, 10.530 and 11.642 Å, with angles of 90.00, 100.02 and 90.00 degrees. The inequivalent atoms are Pr at (0.000, 0.000, 0.000), Er at (0.000, 0.167, 0.500), Er at (0.000, 0.333, 0.000), Er at (0.000, 0.500, 0.500), Tm at (0.249, 0.333, 0.748) and Tm at (0.249, 0.500, 0.252).